# 1
DFT (PBE-GGA) results for crystalline RbLiIBr at its relaxed geometry.

The formation energy from raw total energies is -1444 meV per atom. The total energy comes out at -0.218 Ry/atom. The value obtained for the calculated density is 3.11 g cm⁻³. As for the symmetry: P3m1. The value obtained for the spin magnetization is 0.00 μB/cell.

Unit cell a=4.8141 b=4.8141 c=7.9593 alpha=90.00 beta=90.00 gamma=120.00
Atoms (fractional coordinates):
Rb  0.6667  0.3333  0.9258
Li  0.3333  0.6667  0.4575
I  0.0000  0.0000  0.5939
Br  0.3333  0.6667  0.1520


# 2
DFT (PBE-GGA) results for crystalline PaAgBr2 at its relaxed geometry.

The formation energy from raw total energies is -594 meV per atom. The total energy comes out at -0.332 Ry/atom. The value obtained for the calculated density is 7.15 g cm⁻³. As for the symmetry: R-3m. The value obtained for the spin magnetization is 0.00 μB/cell.

Unit cell a=3.4504 b=3.4504 c=11.4019 alpha=81.30 beta=81.30 gamma=60.00
Atoms (fractional coordinates):
Pa  0.5000  0.5000  0.5000
Br  0.1028  0.1028  0.6915
Br  0.8972  0.8972  0.3085
Ag  0.0000  0.0000  0.0000


# 3
DFT (PBE-GGA) results for crystalline Li2AgIr at its relaxed geometry.

The total energy comes out at -0.292 Ry/atom. Its energy relative to the elements is -0.0839 eV/atom. The value obtained for the calculated density is 8.89 g cm⁻³. As for the symmetry: P4/mmm. The value obtained for the spin magnetization is 0.00 μB/cell.

Unit cell a=2.7070 b=2.7070 c=7.9989 alpha=90.00 beta=90.00 gamma=90.00
Atoms (fractional coordinates):
Ag  0.5000  0.5000  0.2500
Ir  0.5000  0.5000  0.7500
Li  0.0000  0.0000  0.9831
Li  0.0000  0.0000  0.5169


# 4
DFT (PBE-GGA) results for crystalline Re2MoHOs at its relaxed geometry.

The total energy comes out at -0.729 Ry/atom. The energy above the most stable polymorph in this dataset is 17 meV per atom. The value obtained for the calculated density is 17.61 g cm⁻³. As for the symmetry: P4/mmm. The value obtained for the spin magnetization is 0.00 μB/cell.

Unit cell a=3.9714 b=3.9714 c=3.9434 alpha=90.00 beta=90.00 gamma=90.00
Atoms (fractional coordinates):
Re  0.0000  0.5000  0.0000
Re  0.5000  0.0000  0.0000
Mo  0.5000  0.5000  0.5000
Os  0.0000  0.0000  0.5000
H  0.0000  0.0000  0.0000